Material: Te2PtAu
Method: DFT, PBE
State: relaxed

Values from the calculation:
For the density of states at the Fermi level, the calculation gives 0.49 states/eV/atom. The value obtained for the density is 11.4 g/cm3. The calculation puts the total magnetic moment at 0.0 μB/cell. Its formation energy without anion corrections is 13 meV per atom.

Cell: 4.9776 4.9738 4.9716 Å, 68.38 74.78 111.66°
Closest atoms and distances in Å follow each position.
Element x y z (fractional)
Au 0.0000 0.5000 0.5000  4 Te 2.79, 2 Pt 3.02
Pt 0.5000 0.5000 0.0000  4 Te 2.79, 2 Au 3.02
Te 0.0000 0.0000 0.0000  2 Pt 2.79, 2 Au 2.79, 2 Te 3.02
Te 0.5000 0.0000 0.5000  2 Au 2.79, 2 Pt 2.79, 2 Te 3.02



Material: LiNd2GaS5
Method: DFT, PBE
State: relaxed

Values from the calculation:
The value obtained for the density is 4.6 g/cm3. The calculation puts the total magnetic moment at 0.0 μB/cell. Its formation energy without anion corrections is -1566 meV per atom.

Cell: 3.8701 8.7386 11.4085 Å, 90.00 90.00 102.79°
Closest atoms and distances in Å follow each position.
Element x y z (fractional)
Li 0.7852 0.5705 0.5194  3 S 2.44-2.57
Li 0.2148 0.4295 0.0194  3 S 2.44-2.57
Nd 0.8664 0.7327 0.8047  6 S 2.80-3.00
Nd 0.1216 0.2432 0.6826  8 S 2.87-3.14
Nd 0.1336 0.2673 0.3047  6 S 2.80-3.00
Nd 0.8784 0.7568 0.1826  8 S 2.87-3.14
Ga 0.5671 0.1343 0.9540  4 S 2.30-2.33
Ga 0.4329 0.8657 0.4540  4 S 2.30-2.33
S 0.3574 0.7149 0.9997  1 Li 2.44
S 0.6844 0.3687 0.8546  1 Ga 2.30
S 0.4995 0.9991 0.7797  1 Ga 2.30
S 0.2919 0.5837 0.6670  2 Li 2.57, 2 Nd 2.80
S 0.9561 0.9121 0.5624  2 Ga 2.33
S 0.6426 0.2851 0.4997  1 Li 2.44
S 0.3156 0.6313 0.3546  1 Ga 2.30
S 0.5005 0.0009 0.2797  1 Ga 2.30
S 0.7081 0.4163 0.1670  2 Li 2.57, 2 Nd 2.80
S 0.0439 0.0879 0.0624  2 Ga 2.33



Material: Li2FeSi
Method: DFT, PBE
State: relaxed

Values from the calculation:
For the density of states at the Fermi level, the calculation gives 0.35 states/eV/atom. The value obtained for the density is 3.3 g/cm3. The calculation puts the total magnetic moment at 1.5 μB/cell. Its formation energy without anion corrections is -68 meV per atom.

Cell: 4.5190 2.5744 4.1949 Å, 84.63 90.00 90.00°
Closest atoms and distances in Å follow each position.
Element x y z (fractional)
Fe 0.5000 0.7500 0.7500  4 Si 2.36-2.56, 2 Fe 2.57, 4 Li 2.59
Li 0.0000 0.0071 0.9931  3 Li 2.29-2.53
Li 0.0000 0.4929 0.5069  3 Li 2.29-2.53
Si 0.5000 0.2500 0.2500  4 Fe 2.36-2.56, 2 Si 2.57, 4 Li 2.60